NiO2 (PBE+U, relaxed); space-group type = Imma; raw total energy = -4.275 eV/atom; magnetization = 2.0 μB/f.u.
1.0
-2.7174 2.8932 4.1542
2.7174 -2.8932 4.1542
2.7174 2.8932 -4.1542
O Ni
8 4
direct
0.2217 0.7265 0.4951 O
0.2543 0.2738 0.5195 O
0.2686 0.2735 0.9951 O
0.7783 0.2735 0.5049 O
0.7457 0.2653 0.0195 O
0.7457 0.7262 0.4805 O
0.7314 0.7265 0.0049 O
0.2543 0.7347 0.9805 O
0.3937 0.1437 0.2500 Ni
0.6063 0.8563 0.7500 Ni
0.5000 0.5000 0.0000 Ni
0.0000 0.5000 0.5000 Ni